A PBEsol-optimized structure of Na3AuCl, computed with meta-GGA SCAN.

The structure belongs to space group Pm-3m (No. 221); the cell edges are 5.482, 5.482 and 5.482 Å and the angles 90.00°, 90.00° and 90.00°. Symmetry generates all atoms from Na at (0.000, 0.000, 0.500), Au at (0.000, 0.000, 0.000) and Cl at (0.500, 0.500, 0.500).

As for the density of states at the Fermi level: 2.899 states/eV/cell. The formation energy from raw total energies is -2.77 eV/f.u. For the electronic total energy, the calculation gives -18.510 eV/atom.

A PBEsol-optimized structure of NaAuCl2, computed with meta-GGA SCAN.

The structure belongs to space group R-3m (No. 166, hexagonal axes); the cell edges are 4.1564, 4.1564 and 21.8051 Å and the angles 90.00°, 90.00° and 120.00°. Symmetry generates all atoms from Na at (0.0000, 0.0000, 0.0000), Au at (0.0000, 0.0000, 0.5000) and Cl at (0.0000, 0.0000, 0.3966).

As for the density of states at the Fermi level: 0.000 states/eV/cell. For the offset from the most stable computed form, the calculation gives 0.000 eV per formula unit. The formation energy from raw total energies is -4.41 eV/f.u. For the electronic total energy, the calculation gives -23.434 eV/atom.

A PBEsol-optimized structure of NbAuCl2, computed with meta-GGA SCAN.

The structure belongs to space group I-42d (No. 122); the cell edges are 8.518, 8.518 and 5.299 Å and the angles 90.00°, 90.00° and 90.00°. Symmetry generates all atoms from Nb at (0.000, 0.000, 0.000), Au at (0.000, 0.000, 0.500) and Cl at (0.120, 0.250, 0.125).

As for the density of states at the Fermi level: 5.513 states/eV/cell. For the offset from the most stable computed form, the calculation gives 0.971 eV per formula unit. The formation energy from raw total energies is -1.43 eV/f.u. For the electronic total energy, the calculation gives -29.917 eV/atom.

A PBEsol-optimized structure of NbAuCl2, computed with meta-GGA SCAN.

The structure belongs to space group R-3m (No. 166, hexagonal axes); the cell edges are 3.0168, 3.0168 and 30.9182 Å and the angles 90.00°, 90.00° and 120.00°. Symmetry generates all atoms from Nb at (0.0000, 0.0000, 0.0000), Au at (0.0000, 0.0000, 0.5000) and Cl at (0.0000, 0.0000, 0.3916).

As for the density of states at the Fermi level: 3.165 states/eV/cell. For the offset from the most stable computed form, the calculation gives 0.000 eV per formula unit. The formation energy from raw total energies is -2.40 eV/f.u. For the electronic total energy, the calculation gives -30.160 eV/atom.

A PBEsol-optimized structure of NbAuCl3, computed with meta-GGA SCAN.

The structure belongs to space group Pm-3m (No. 221); the cell edges are 4.802, 4.802 and 4.802 Å and the angles 90.00°, 90.00° and 90.00°. Symmetry generates all atoms from Nb at (0.000, 0.000, 0.000), Au at (0.500, 0.500, 0.500) and Cl at (0.000, 0.000, 0.500).

As for the density of states at the Fermi level: 2.878 states/eV/cell. The formation energy from raw total energies is -1.67 eV/f.u. For the electronic total energy, the calculation gives -25.578 eV/atom.

A PBEsol-optimized structure of Ni2AuCl, computed with meta-GGA SCAN.

The structure belongs to space group R3m (No. 160, hexagonal axes); the cell edges are 2.8871, 2.8871 and 24.3907 Å and the angles 90.00°, 90.00° and 120.00°. Symmetry generates all atoms from Ni at (0.0000, 0.0000, 0.0000), Ni at (0.0000, 0.0000, 0.2639), Au at (0.0000, 0.0000, 0.7504) and Cl at (0.0000, 0.0000, 0.5347).

As for the density of states at the Fermi level: 5.666 states/eV/cell. For the offset from the most stable computed form, the calculation gives 0.324 eV per formula unit. The formation energy from raw total energies is 0.38 eV/f.u. For the electronic total energy, the calculation gives -27.275 eV/atom.

A PBEsol-optimized structure of Ni2AuCl, computed with meta-GGA SCAN.

The structure belongs to space group Imm2 (No. 44); the cell edges are 2.830, 4.128 and 10.686 Å and the angles 90.00°, 90.00° and 90.00°. Symmetry generates all atoms from Ni at (0.000, 0.000, 0.000), Ni at (0.000, 0.500, 0.310), Au at (0.000, 0.500, 0.868) and Cl at (0.000, 0.000, 0.639).

As for the density of states at the Fermi level: 4.264 states/eV/cell. For the offset from the most stable computed form, the calculation gives 0.659 eV per formula unit. The formation energy from raw total energies is 0.71 eV/f.u. For the electronic total energy, the calculation gives -27.192 eV/atom.

A PBEsol-optimized structure of NiAuCl, computed with meta-GGA SCAN.

The structure belongs to space group I4mm (No. 107); the cell edges are 2.877, 2.877 and 11.851 Å and the angles 90.00°, 90.00° and 90.00°. Symmetry generates all atoms from Ni at (0.000, 0.000, 0.000), Au at (0.000, 0.000, 0.651) and Cl at (0.000, 0.000, 0.388).

As for the density of states at the Fermi level: 4.267 states/eV/cell. The formation energy from raw total energies is 0.35 eV/f.u. For the electronic total energy, the calculation gives -30.985 eV/atom.

A PBEsol-optimized structure of Ni2AuCl, computed with meta-GGA SCAN.

The structure belongs to space group P4/mmm (No. 123); the cell edges are 2.886, 2.886 and 6.445 Å and the angles 90.00°, 90.00° and 90.00°. Symmetry generates all atoms from Ni at (0.000, 0.000, 0.234), Au at (0.500, 0.500, 0.500) and Cl at (0.500, 0.500, 0.000).

As for the density of states at the Fermi level: 4.074 states/eV/cell. For the offset from the most stable computed form, the calculation gives 1.106 eV per formula unit. The formation energy from raw total energies is 1.16 eV/f.u. For the electronic total energy, the calculation gives -27.080 eV/atom.

A PBEsol-optimized structure of Ni2AuCl, computed with meta-GGA SCAN.

The structure belongs to space group Pmmm (No. 47); the cell edges are 2.910, 3.419 and 6.140 Å and the angles 90.00°, 90.00° and 90.00°. Symmetry generates all atoms from Ni at (0.000, 0.000, 0.210), Au at (0.500, 0.500, 0.000) and Cl at (0.500, 0.000, 0.500).

As for the density of states at the Fermi level: 2.177 states/eV/cell. For the offset from the most stable computed form, the calculation gives 0.000 eV per formula unit. The formation energy from raw total energies is 0.06 eV/f.u. For the electronic total energy, the calculation gives -27.357 eV/atom.

A PBEsol-optimized structure of NiAuCl2, computed with meta-GGA SCAN.

The structure belongs to space group P4mm (No. 99); the cell edges are 3.456, 3.456 and 6.473 Å and the angles 90.00°, 90.00° and 90.00°. Symmetry generates all atoms from Ni at (0.000, 0.000, 0.000), Au at (0.500, 0.500, 0.122), Cl at (0.000, 0.000, 0.340) and Cl at (0.500, 0.500, 0.749).

As for the density of states at the Fermi level: 1.259 states/eV/cell. The formation energy from raw total energies is -0.03 eV/f.u. For the electronic total energy, the calculation gives -25.330 eV/atom.

A PBEsol-optimized structure of NiAuS2Cl, computed with meta-GGA SCAN.

The structure belongs to space group P4/mmm (No. 123); the cell edges are 4.786, 4.786 and 4.737 Å and the angles 90.00°, 90.00° and 90.00°. Symmetry generates all atoms from Ni at (0.000, 0.000, 0.000), Au at (0.500, 0.500, 0.500), S at (0.000, 0.500, 0.500) and Cl at (0.500, 0.500, 0.000).

As for the density of states at the Fermi level: 3.739 states/eV/cell. The formation energy from raw total energies is 4.35 eV/f.u. For the electronic total energy, the calculation gives -21.643 eV/atom.

A PBEsol-optimized structure of RhAuCl2O, computed with meta-GGA SCAN.

The structure belongs to space group P4/mmm (No. 123); the cell edges are 5.035, 5.035 and 3.804 Å and the angles 90.00°, 90.00° and 90.00°. Symmetry generates all atoms from Rh at (0.000, 0.000, 0.000), Au at (0.500, 0.500, 0.500), Cl at (0.000, 0.500, 0.500) and O at (0.500, 0.500, 0.000).

As for the density of states at the Fermi level: 5.708 states/eV/cell. The formation energy from raw total energies is 2.75 eV/f.u. For the electronic total energy, the calculation gives -24.473 eV/atom.

A PBEsol-optimized structure of Os2AuCl2, computed with meta-GGA SCAN.

The structure belongs to space group I4/mmm (No. 139); the cell edges are 4.070, 4.070 and 10.058 Å and the angles 90.00°, 90.00° and 90.00°. Symmetry generates all atoms from Os at (0.000, 0.500, 0.250), Au at (0.000, 0.000, 0.000) and Cl at (0.000, 0.000, 0.367).

As for the density of states at the Fermi level: 6.491 states/eV/cell. The formation energy from raw total energies is 7.67 eV/f.u. For the electronic total energy, the calculation gives -44.241 eV/atom.

A PBEsol-optimized structure of OsAuS2Cl, computed with meta-GGA SCAN.

The structure belongs to space group P4/mmm (No. 123); the cell edges are 4.777, 4.777 and 4.654 Å and the angles 90.00°, 90.00° and 90.00°. Symmetry generates all atoms from Os at (0.000, 0.000, 0.000), Au at (0.500, 0.500, 0.500), S at (0.000, 0.500, 0.500) and Cl at (0.500, 0.500, 0.000).

As for the density of states at the Fermi level: 3.020 states/eV/cell. The formation energy from raw total energies is 7.75 eV/f.u. For the electronic total energy, the calculation gives -32.104 eV/atom.

A PBEsol-optimized structure of PAuCl2, computed with meta-GGA SCAN.

The structure belongs to space group Pmmm (No. 47); the cell edges are 3.010, 4.216 and 5.798 Å and the angles 90.00°, 90.00° and 90.00°. Symmetry generates all atoms from P at (0.000, 0.000, 0.000), Au at (0.500, 0.000, 0.500), Cl at (0.000, 0.500, 0.500) and Cl at (0.500, 0.500, 0.000).

As for the density of states at the Fermi level: 1.470 states/eV/cell. For the offset from the most stable computed form, the calculation gives 0.436 eV per formula unit. The formation energy from raw total energies is 2.08 eV/f.u. For the electronic total energy, the calculation gives -23.359 eV/atom.

A PBEsol-optimized structure of PAu2Cl, computed with meta-GGA SCAN.

The structure belongs to space group P4mm (No. 99); the cell edges are 3.371, 3.371 and 6.802 Å and the angles 90.00°, 90.00° and 90.00°. Symmetry generates all atoms from P at (0.000, 0.000, 0.000), Au at (0.000, 0.000, 0.361), Au at (0.500, 0.500, 0.123) and Cl at (0.500, 0.500, 0.598).

As for the density of states at the Fermi level: 0.349 states/eV/cell. For the offset from the most stable computed form, the calculation gives 0.475 eV per formula unit. The formation energy from raw total energies is 0.41 eV/f.u. For the electronic total energy, the calculation gives -39.070 eV/atom.

A PBEsol-optimized structure of PAuCl2, computed with meta-GGA SCAN.

The structure belongs to space group Cmmm (No. 65); the cell edges are 7.220, 7.250 and 2.988 Å and the angles 90.00°, 90.00° and 90.00°. Symmetry generates all atoms from P at (0.000, 0.000, 0.000), Au at (0.000, 0.500, 0.000) and Cl at (0.250, 0.250, 0.000).

As for the density of states at the Fermi level: 4.214 states/eV/cell. For the offset from the most stable computed form, the calculation gives 0.000 eV per formula unit. The formation energy from raw total energies is 1.64 eV/f.u. For the electronic total energy, the calculation gives -23.468 eV/atom.

A PBEsol-optimized structure of PAu2Cl, computed with meta-GGA SCAN.

The structure belongs to space group C2/m (No. 12); the cell edges are 6.080, 3.515 and 7.137 Å and the angles 90.00°, 106.21° and 90.00°. Symmetry generates all atoms from P at (0.000, 0.000, 0.000), Au at (0.237, 0.500, 0.215) and Cl at (0.000, 0.500, 0.500).

As for the density of states at the Fermi level: 2.406 states/eV/cell. For the offset from the most stable computed form, the calculation gives 0.108 eV per formula unit. The formation energy from raw total energies is 0.04 eV/f.u. For the electronic total energy, the calculation gives -39.161 eV/atom.

A PBEsol-optimized structure of PAuCl4, computed with meta-GGA SCAN.

The structure belongs to space group P2_1/c (No. 14); the cell edges are 7.320, 14.923 and 5.972 Å and the angles 90.00°, 94.42° and 90.00°. Symmetry generates all atoms from P at (0.236, 0.134, 0.000), Au at (0.447, 0.240, 0.005), Cl at (0.000, 0.171, 0.124), Cl at (0.155, 0.085, 0.694), Cl at (0.305, 0.022, 0.175) and Cl at (0.334, 0.652, 0.991).

As for the density of states at the Fermi level: 0.000 states/eV/cell. The formation energy from raw total energies is -4.09 eV/f.u. For the electronic total energy, the calculation gives -19.260 eV/atom.